[1]
A geometry-optimized LuPaZnRe structure, computed with PBE-GGA.

Values from the calculation:
Formation energy   -0.06 eV per atom
Density of states at the Fermi level   8.6 states/eV per cell

CIF file:
```
data_LuPaZnRe
_chemical_formula_sum 'Lu4 Pa4 Zn4 Re4'
_cell_length_a 6.917
_cell_length_b 6.917
_cell_length_c 6.917
_cell_angle_alpha 90.00
_cell_angle_beta 90.00
_cell_angle_gamma 90.00
_symmetry_space_group_name_H-M 'F -4 3 m'
_symmetry_Int_Tables_number 216
_symmetry_space_group_name_Hall 'F -4 2 3'
loop_
_atom_site_label
_atom_site_type_symbol
_atom_site_fract_x
_atom_site_fract_y
_atom_site_fract_z
_atom_site_occupancy
Lu1 Lu 0.000 0.000 0.000 1
Pa1 Pa 0.000 0.000 0.500 1
Zn1 Zn 0.250 0.250 0.750 1
Re1 Re 0.250 0.250 0.250 1
```

=====

[2]
A geometry-optimized LuPaRh2 structure, computed with PBE-GGA.

Values from the calculation:
Formation energy   -0.79 eV per atom
Distance to the lowest polymorph of the same formula   3 meV/atom
Density of states at the Fermi level   4.2 states/eV per cell

CIF file:
```
data_LuPaRh2
_chemical_formula_sum 'Lu1 Pa1 Rh2'
_cell_length_a 4.850
_cell_length_b 4.850
_cell_length_c 3.371
_cell_angle_alpha 90.00
_cell_angle_beta 90.00
_cell_angle_gamma 90.00
_symmetry_space_group_name_H-M 'P 4/m m m'
_symmetry_Int_Tables_number 123
_symmetry_space_group_name_Hall '-P 4 2'
loop_
_atom_site_label
_atom_site_type_symbol
_atom_site_fract_x
_atom_site_fract_y
_atom_site_fract_z
_atom_site_occupancy
Lu1 Lu 0.000 0.000 0.000 1
Pa1 Pa 0.500 0.500 0.000 1
Rh1 Rh 0.000 0.500 0.500 1
```

=====

[3]
A geometry-optimized Lu2PaRh structure, computed with PBE-GGA.

Values from the calculation:
Formation energy   -0.08 eV per atom
Distance to the lowest polymorph of the same formula   303 meV/atom
Density of states at the Fermi level   13.4 states/eV per cell

CIF file:
```
data_Lu2PaRh
_chemical_formula_sum 'Lu6 Pa3 Rh3'
_cell_length_a 3.2538
_cell_length_b 3.2538
_cell_length_c 31.3912
_cell_angle_alpha 90.00
_cell_angle_beta 90.00
_cell_angle_gamma 120.00
_symmetry_space_group_name_H-M 'R -3 m'
_symmetry_Int_Tables_number 166
_symmetry_space_group_name_Hall '-R 3 2"'
loop_
_atom_site_label
_atom_site_type_symbol
_atom_site_fract_x
_atom_site_fract_y
_atom_site_fract_z
_atom_site_occupancy
Lu1 Lu 0.0000 0.0000 0.1023 1
Pa1 Pa 0.0000 0.0000 0.0000 1
Rh1 Rh 0.0000 0.0000 0.5000 1
```